Entry from Alexandria via LeMat-Bulk: a relaxed structure of LiReIr2 (PBE).

POSCAR file:
```
LiReIr2
1.0
2.8388 0.0000 0.0000
0.0000 2.8388 0.0000
0.0000 0.0000 6.7361
Li Re Ir
1 1 2
direct
0.0000 0.0000 0.0000 Li
0.0000 0.0000 0.5000 Re
0.5000 0.5000 0.2373 Ir
0.5000 0.5000 0.7627 Ir
```

Computed properties:
The electronic total energy is -8.157 eV per atom.

Entry from Alexandria via LeMat-Bulk: a relaxed structure of Li2ReIr (PBE).

POSCAR file:
```
Li2ReIr
1.0
4.5408 0.0000 0.0000
0.0000 4.5408 0.0000
0.0000 0.0000 2.5118
Li Re Ir
2 1 1
direct
0.0000 0.5000 0.0000 Li
0.5000 0.0000 0.0000 Li
0.0000 0.0000 0.5000 Re
0.5000 0.5000 0.5000 Ir
```

Computed properties:
The electronic total energy is -5.760 eV per atom.

Entry from Alexandria via LeMat-Bulk: a relaxed structure of Li2ReIr (PBE).

POSCAR file:
```
Li2ReIr
1.0
2.6748 0.0000 0.0000
0.0000 4.2300 0.0000
-0.4445 0.0000 5.0836
Li Re Ir
2 1 1
direct
0.0000 0.0000 0.0000 Li
0.4140 0.5000 0.8439 Li
0.8846 0.5000 0.3588 Re
0.4239 0.0000 0.5097 Ir
```

Computed properties:
The electronic total energy is -6.294 eV per atom.

Entry from Alexandria via LeMat-Bulk: a relaxed structure of LiReIr2 (PBE).

POSCAR file:
```
LiReIr2
1.0
2.7437 0.0000 0.0000
0.0000 3.7277 0.0000
0.0000 0.0000 5.4251
Li Re Ir
1 1 2
direct
0.0000 0.0000 0.0000 Li
0.0000 0.0000 0.5000 Re
0.5000 0.5000 0.2443 Ir
0.5000 0.5000 0.7557 Ir
```

Computed properties:
The electronic total energy is -8.131 eV per atom.

Entry from Alexandria via LeMat-Bulk: a relaxed structure of Li2ReIr (PBE).

POSCAR file:
```
Li2ReIr
1.0
-2.1030 2.1030 2.9677
2.1030 -2.1030 2.9677
2.1030 2.1030 -2.9677
Li Re Ir
2 1 1
direct
0.0000 0.0000 0.0000 Li
0.7500 0.2500 0.5000 Li
0.5000 0.5000 0.0000 Re
0.2500 0.7500 0.5000 Ir
```

Computed properties:
The electronic total energy is -6.337 eV per atom.

Entry from Alexandria via LeMat-Bulk: a relaxed structure of LiReIr2 (PBE).

POSCAR file:
```
LiReIr2
1.0
4.4164 -1.3481 0.0000
4.4164 1.3481 0.0000
-0.6332 0.0000 4.7114
Li Re Ir
1 1 2
direct
0.0000 0.0000 0.0000 Li
0.5000 0.5000 0.5000 Re
0.2460 0.2460 0.7530 Ir
0.7540 0.7540 0.2470 Ir
```

Computed properties:
The electronic total energy is -8.003 eV per atom.

Entry from Alexandria via LeMat-Bulk: a relaxed structure of LiReIr2 (PBE).

POSCAR file:
```
LiReIr2
1.0
4.5308 -1.3581 0.0000
4.5308 1.3581 0.0000
-0.7032 0.0000 4.6141
Li Re Ir
1 1 2
direct
0.0000 0.0000 0.0000 Li
0.7687 0.7687 0.3060 Re
0.2450 0.2450 0.8157 Ir
0.5136 0.5136 0.5002 Ir
```

Computed properties:
The electronic total energy is -8.111 eV per atom.

Entry from Alexandria via LeMat-Bulk: a relaxed structure of LiReIr2 (PBE).

POSCAR file:
```
LiReIr2
1.0
-1.8659 1.8659 3.9810
1.8659 -1.8659 3.9810
1.8659 1.8659 -3.9810
Li Re Ir
1 1 2
direct
0.0000 0.0000 0.0000 Li
0.2500 0.7500 0.5000 Re
0.5000 0.5000 0.0000 Ir
0.7500 0.2500 0.5000 Ir
```

Computed properties:
The electronic total energy is -7.991 eV per atom.